Model 1:
GaAs2SeN: relaxed, GGA-PBE.

Structure (extended XYZ):
```
5
Lattice="-3.0772 0.1433 3.0843 1.2557 -3.9201 1.4349 2.9970 2.0202 2.8963" Properties=species:S:1:pos:R:3 pbc="T T T"
As -1.5386 0.0716 1.5421
N 0.0000 0.0000 0.0000
As 0.6278 -1.9600 0.7174
Ga 0.5878 -0.8783 3.7077
Se 1.4985 1.0101 1.4481
```

## Properties
* Fermi-level density of states: 3.49 states/eV/cell
* crystal system: tetragonal

Model 2:
GaAs2SeN: relaxed, GGA-PBE.

Structure (extended XYZ):
```
5
Lattice="-0.7095 -3.9183 2.9515 -2.6627 -2.1971 -3.5568 4.1756 -2.1229 -1.8146" Properties=species:S:1:pos:R:3 pbc="T T T"
As -0.3547 -1.9592 1.4758
Ga 0.0000 0.0000 0.0000
Se 2.0878 -1.0615 -0.9073
As -1.3313 -1.0985 -1.7784
N 0.4017 -4.1192 -1.2099
```

## Properties
* Fermi-level density of states: 3.37 states/eV/cell
* crystal system: tetragonal

Energies relative to the most stable structure, in meV per atom: model 1 0; model 2 836.

Model 1:
GaTe2AsN: relaxed, GGA-PBE.

Structure (extended XYZ):
```
5
Lattice="-0.7447 -4.4982 3.3870 -1.4011 -3.1610 -4.5062 3.3939 -0.8876 -0.4326" Properties=species:S:1:pos:R:3 pbc="T T T"
As 0.6241 -4.2734 -0.7759
Te -0.7005 -1.5805 -2.2531
Te -0.3724 -2.2491 1.6935
Ga 0.0000 0.0000 0.0000
N 1.6970 -0.4438 -0.2163
```

## Properties
* Fermi-level density of states: 5.26 states/eV/cell
* crystal system: tetragonal

Model 2:
GaTe2AsN: relaxed, GGA-PBE.

Structure (extended XYZ):
```
5
Lattice="-2.7545 -1.9280 -4.9394 3.3827 -4.9253 0.0361 -2.4249 -1.6508 1.9966" Properties=species:S:1:pos:R:3 pbc="T T T"
Te 1.6914 -2.4627 0.0181
Te -1.3773 -0.9640 -2.4697
N -1.2124 -0.8254 0.9983
As 0.0000 0.0000 0.0000
Ga -0.8983 -4.2521 -1.4533
```

## Properties
* Fermi-level density of states: 4.82 states/eV/cell
* crystal system: tetragonal

Energies relative to the most stable structure, in meV per atom: model 1 64; model 2 0.

Model 1:
Na2GaAs: relaxed, GGA-PBE.

Structure (extended XYZ):
```
4
Lattice="0.0000 3.5398 3.5398 3.5398 0.0000 3.5398 3.5398 3.5398 0.0000" Properties=species:S:1:pos:R:3 pbc="T T T"
Na 1.7699 1.7699 1.7699
Ga 0.0000 0.0000 0.0000
Na 5.3096 5.3096 5.3096
As 3.5398 3.5398 3.5398
```

## Properties
* Fermi-level density of states: 0.00 states/eV/cell
* crystal system: cubic

Model 2:
Na2GaAs: relaxed, GGA-PBE.

Structure (extended XYZ):
```
8
Lattice="-1.0588 3.8768 -1.3421 -4.0901 -0.8897 0.6566 -1.7985 5.0443 9.3018" Properties=species:S:1:pos:R:3 pbc="T T T"
Na -5.8997 6.3870 6.3838
As 0.0000 0.0000 0.0000
Na -3.1265 1.1464 2.5830
Ga -4.2315 2.8240 4.8078
Ga -2.5744 1.4935 -0.3427
Na -3.2342 4.9133 6.7120
Na -1.6344 3.6160 1.5538
As -2.7159 5.2073 3.8085
```

## Properties
* Fermi-level density of states: 3.40 states/eV/cell
* crystal system: tetragonal

Energies relative to the most stable structure, in meV per atom: model 1 0; model 2 223.

Model 1:
Na2Ga2As3: relaxed, GGA-PBE.

Structure (extended XYZ):
```
56
Lattice="6.7851 0.0000 0.0000 0.0000 13.3221 0.0031 0.0000 -0.0741 14.5611" Properties=species:S:1:pos:R:3 pbc="T T T"
As 6.4398 2.0988 6.0560
Na 2.7856 7.5066 5.9841
Ga 5.3556 1.1854 3.9557
Ga 1.9224 9.0786 2.3321
Na 0.3163 11.3801 14.3982
Ga 4.8221 1.1483 11.2362
Na 3.7088 1.8309 7.4465
Na 6.1781 5.7784 1.2995
As 3.5890 6.3355 12.3093
Ga 1.7856 5.4828 3.7744
Na 3.6861 12.1254 12.9590
As 0.3794 4.4652 13.0800
Ga 5.1686 10.8270 2.4596
As 1.9969 9.9626 4.6743
As 6.4058 8.7828 1.4841
As 1.1157 3.3398 2.5273
Ga 5.1781 7.8023 3.5093
As 6.5553 12.9125 2.4477
As 0.1964 6.8755 9.5353
Na 3.0763 11.4171 7.1177
As 5.3895 3.3225 2.6093
Ga 1.4701 9.0415 9.6126
As 6.5887 6.3725 5.0288
As 0.3453 11.1492 8.5081
As 1.3957 9.9255 11.9548
Ga 5.0091 10.7900 9.7402
Ga 1.9630 12.0997 3.3279
Na 0.2935 1.0856 8.8857
As 3.1628 0.3725 4.8359
Na 3.9343 8.6256 14.2383
As 2.2769 3.3027 9.8079
Na 2.8508 4.6224 0.3259
Ga 4.8627 4.1694 12.2321
Na 3.9996 5.7414 8.5800
Na 0.5417 4.5853 7.6064
As 5.6694 9.9082 12.0368
Na 0.6070 7.4696 13.2647
Na 6.4916 12.1624 5.6785
Ga 1.6070 5.4457 11.0549
As 3.1962 6.9125 2.2548
As 4.7882 3.2854 9.8899
As 0.2298 0.3355 12.1164
Ga 1.4295 12.0626 10.6085
Ga 1.7760 2.4580 4.8240
As 3.0132 4.5022 5.7995
As 3.0473 11.1862 1.2276
Na 6.2434 8.6627 6.9577
As 3.6224 12.8755 9.7283
As 3.7719 8.7458 8.7647
Ga 1.6165 2.4209 12.1045
As 4.5083 9.9453 4.7563
Ga 4.9996 7.7652 10.7898
As 3.7378 2.0618 13.3365
Ga 5.3150 4.2065 4.9515
Na 6.4689 1.8679 0.1660
Na 3.0990 1.1226 1.6052
```

## Properties
* crystal system: monoclinic

Model 2:
Na2Ga2As3: relaxed, GGA-PBE.

Structure (extended XYZ):
```
28
Lattice="-4.6457 4.1689 -2.2242 -7.6407 0.2746 7.2547 2.3455 9.5525 3.7862" Properties=species:S:1:pos:R:3 pbc="T T T"
Na -6.6331 12.0601 8.2949
As -1.1798 9.8705 1.6863
As -3.8387 3.8989 3.4140
As -5.1930 6.6994 7.0058
Ga -5.3639 4.8372 1.6682
As -9.1141 7.4563 6.1155
Na -6.0145 8.3922 9.9989
Ga -2.4044 7.7273 1.1279
Na -3.3079 1.9360 0.5218
Ga -1.5799 4.1101 2.2729
As -3.6187 13.1458 3.4253
As -0.8269 6.5398 2.7012
As -8.7612 4.1256 7.1304
As -6.3222 0.8503 5.3913
As -6.1022 10.0972 5.4027
Ga -8.3611 9.8859 6.5438
Ga -7.5365 6.2687 7.6888
As -4.7480 7.2967 1.8109
Ga -5.4406 12.4585 5.0419
As -7.4958 4.5865 3.0986
Na -3.1347 6.5823 4.7302
Ga -4.5004 1.5375 3.7748
Ga -4.5771 9.1589 7.1484
Na -3.9265 5.6038 -1.1823
As -2.4452 9.4095 5.7181
Na -6.8063 7.4137 4.0865
Na -5.9638 3.9539 5.7128
Na -3.9772 10.0422 3.1039
```

## Properties
* Fermi-level density of states: 5.00 states/eV/cell
* crystal system: monoclinic

Energies relative to the most stable structure, in meV per atom: model 1 0; model 2 96.

Model 1:
NaGaAs: relaxed, GGA-PBE.

Structure (extended XYZ):
```
3
Lattice="-4.5858 -1.7582 -1.1213 0.3153 -2.7375 3.0030 -1.5930 3.6754 0.7519" Properties=species:S:1:pos:R:3 pbc="T T T"
As -2.1549 1.0785 1.2094
Ga -0.3709 -0.1422 -0.0907
Na -3.3377 -1.7565 1.5150
```

## Properties
* Fermi-level density of states: 1.26 states/eV/cell
* crystal system: trigonal

Model 2:
NaGaAs: relaxed, GGA-PBE.

Structure (extended XYZ):
```
6
Lattice="-1.9592 4.4925 -1.4970 0.2071 -1.2317 -3.9675 -5.9967 -4.4550 3.2503" Properties=species:S:1:pos:R:3 pbc="T T T"
Ga -0.4141 0.5713 -2.3793
As -1.7735 -1.3873 -1.8423
Ga -1.3379 2.6896 -3.0852
As -5.9753 0.1931 -0.3719
Na -3.2031 1.3325 -0.5809
Na -4.5457 -2.5266 -1.6333
```

## Properties
* Fermi-level density of states: 1.89 states/eV/cell
* crystal system: orthorhombic

Model 3:
NaGaAs: relaxed, GGA-PBE.

Structure (extended XYZ):
```
6
Lattice="-1.2524 -2.1961 -1.9968 -2.9258 -1.4730 3.4551 -5.6427 7.1528 -1.7288" Properties=species:S:1:pos:R:3 pbc="T T T"
Na -5.1033 0.0019 0.5998
Ga -8.0281 4.5297 0.0534
As -2.5542 1.3922 0.0708
Na -4.7176 3.4817 -0.8704
As -7.2667 2.0914 -0.3413
Ga -1.7927 -1.0461 -0.3239
```

## Properties
* Fermi-level density of states: 1.40 states/eV/cell
* crystal system: orthorhombic

Energies relative to the most stable structure, in meV per atom: model 1 0; model 2 37; model 3 9.

Model 1:
NaGaAs3: relaxed, GGA-PBE.

Structure (extended XYZ):
```
5
Lattice="5.0247 0.0000 0.0000 0.0000 5.0247 0.0000 0.0000 0.0000 5.0247" Properties=species:S:1:pos:R:3 pbc="T T T"
As 0.0000 0.0000 2.5123
As 0.0000 2.5123 0.0000
Na 2.5123 2.5123 2.5123
Ga 0.0000 0.0000 0.0000
As 2.5123 0.0000 0.0000
```

## Properties
* Fermi-level density of states: 4.05 states/eV/cell
* crystal system: cubic

Model 2:
NaGaAs3: relaxed, GGA-PBE.

Structure (extended XYZ):
```
5
Lattice="5.0589 0.0000 0.0000 0.0000 5.0589 0.0000 0.0000 0.0000 5.0589" Properties=species:S:1:pos:R:3 pbc="T T T"
As 0.0000 0.0000 2.5294
Na 0.0000 0.0000 0.0000
Ga 2.5294 2.5294 2.5294
As 0.0000 2.5294 0.0000
As 2.5294 0.0000 0.0000
```

## Properties
* Fermi-level density of states: 4.14 states/eV/cell
* crystal system: cubic

Energies relative to the most stable structure, in meV per atom: model 1 0; model 2 567.